Record 1
DFT (PBE) results for a relaxed NaTcO4 crystal.

a = 6.8690 Å, b = 6.8690 Å, c = 6.8690 Å
α = 135.05°, β = 135.05°, γ = 65.45°
Last column: nearest neighbours and their distance in Å.
Fractional positions:
Na1 0.3750 0.1250 0.2500  8 O 2.44-2.56
Na2 0.6250 0.8750 0.7500  8 O 2.44-2.56
Tc1 0.1250 0.3750 0.7500  4 O 1.74
Tc2 0.8750 0.6250 0.2500  4 O 1.74
O1 0.0789 0.2194 0.3785  1 Tc 1.74
O2 0.2004 0.5789 0.3595  1 Tc 1.74
O3 0.2806 0.1591 0.8595  1 Tc 1.74
O4 0.3409 0.7004 0.1215  1 Tc 1.74
O5 0.6591 0.2996 0.8785  1 Tc 1.74
O6 0.7194 0.8409 0.1405  1 Tc 1.74
O7 0.7996 0.4211 0.6405  1 Tc 1.74
O8 0.9211 0.7806 0.6215  1 Tc 1.74

Record 2
DFT (PBE) results for a relaxed CuCl2 crystal.

a = 5.6796 Å, b = 5.6796 Å, c = 5.6796 Å
α = 60.00°, β = 60.00°, γ = 60.00°
Last column: nearest neighbours and their distance in Å.
Fractional positions:
Cu1 0.1250 0.1250 0.1250  12 Cl 3.33, 4 Cu 3.48
Cu2 0.8750 0.8750 0.8750  12 Cl 3.33, 4 Cu 3.48
Cl1 0.0000 0.5000 0.5000  6 Cl 2.84
Cl2 0.5000 0.0000 0.5000  6 Cl 2.84
Cl3 0.5000 0.5000 0.0000  6 Cl 2.84
Cl4 0.5000 0.5000 0.5000  6 Cl 2.84

Record 3
DFT (PBE) results for a relaxed Pm5TlIr2 crystal.

a = 8.9980 Å, b = 8.9980 Å, c = 8.9980 Å
α = 127.47°, β = 127.47°, γ = 77.48°
Last column: nearest neighbours and their distance in Å.
Fractional positions:
Pm1 0.0000 0.0000 0.0000  4 Ir 3.09
Pm2 0.0306 0.5306 0.8241  3 Ir 2.91-3.02
Pm3 0.2065 0.0306 0.5000  3 Ir 2.91-3.02
Pm4 0.2935 0.7935 0.8241  3 Ir 2.91-3.02
Pm5 0.4694 0.2935 0.5000  3 Ir 2.91-3.02
Pm6 0.5000 0.5000 0.0000  4 Ir 3.09
Pm7 0.5306 0.7065 0.5000  3 Ir 2.91-3.02
Pm8 0.7065 0.2065 0.1759  3 Ir 2.91-3.02
Pm9 0.7935 0.9694 0.5000  3 Ir 2.91-3.02
Pm10 0.9694 0.4694 0.1759  3 Ir 2.91-3.02
Tl1 0.2500 0.2500 0.0000  10 Pm 3.42-3.51
Tl2 0.7500 0.7500 0.0000  10 Pm 3.42-3.51
Ir1 0.1378 0.3622 0.5000  8 Pm 2.91-3.09, 1 Ir 3.10
Ir2 0.3622 0.8622 0.2245  8 Pm 2.91-3.09, 1 Ir 3.10
Ir3 0.6378 0.1378 0.7755  8 Pm 2.91-3.09, 1 Ir 3.10
Ir4 0.8622 0.6378 0.5000  8 Pm 2.91-3.09, 1 Ir 3.10

no.,E_tot (eV/atom)
1,-6.840
2,-1.552
3,-6.038